DFT (PBE) results for a geometry-optimized Ir4Os2Ru3 structure.

a = 6.089 Å, b = 6.089 Å, c = 6.082 Å
α = 107.50°, β = 107.50°, γ = 36.89°
Element x y z (fractional)
Ir (0.053, 0.053, 0.329)
Ir (0.278, 0.278, 0.670)
Ir (0.722, 0.722, 0.330)
Ir (0.947, 0.947, 0.671)
Os (0.168, 0.168, 0.000)
Os (0.832, 0.832, 0.000)
Ru (0.389, 0.389, 0.329)
Ru (0.500, 0.500, 0.000)
Ru (0.611, 0.611, 0.671)

DFT total energy ... -85.7 eV/f.u.
Offset from the most stable computed form ... 29 meV/atom
Total magnetic moment ... 0.00 μB per formula unit
E_form ... 1 meV per atom
V ... 14.3 Å³/atom
Crystal system ... monoclinic

=====

DFT (PBE) results for a geometry-optimized Ir15OsRu4 structure.

a = 3.860 Å, b = 3.860 Å, c = 19.287 Å
α = 90.00°, β = 90.00°, γ = 90.00°
Element x y z (fractional)
Ir (0.000, 0.000, 0.000)
Ir (0.000, 0.000, 0.200)
Ir (0.000, 0.000, 0.400)
Ir (0.000, 0.000, 0.600)
Ir (0.000, 0.000, 0.800)
Ir (0.000, 0.500, 0.100)
Ir (0.000, 0.500, 0.300)
Ir (0.000, 0.500, 0.500)
Ir (0.000, 0.500, 0.700)
Ir (0.000, 0.500, 0.900)
Ir (0.500, 0.000, 0.100)
Ir (0.500, 0.000, 0.300)
Ir (0.500, 0.000, 0.500)
Ir (0.500, 0.000, 0.700)
Ir (0.500, 0.000, 0.900)
Os (0.500, 0.500, 0.000)
Ru (0.500, 0.500, 0.201)
Ru (0.500, 0.500, 0.400)
Ru (0.500, 0.500, 0.600)
Ru (0.500, 0.500, 0.799)

DFT total energy ... -181.7 eV/f.u.
Total magnetic moment ... 0.00 μB per formula unit
E_form ... -21 meV per atom
V ... 14.4 Å³/atom
Crystal system ... tetragonal

=====

DFT (PBE) results for a geometry-optimized IrOs2Ru structure.

a = 8.996 Å, b = 8.996 Å, c = 8.996 Å
α = 17.47°, β = 17.47°, γ = 17.47°
Element x y z (fractional)
Ir (0.000, 0.000, 0.000)
Os (0.500, 0.500, 0.500)
Os (0.751, 0.751, 0.751)
Ru (0.249, 0.249, 0.249)

DFT total energy ... -40.1 eV/f.u.
Offset from the most stable computed form ... 133 meV/atom
Total magnetic moment ... 0.00 μB per formula unit
E_form ... 119 meV per atom
V ... 14.3 Å³/atom
Crystal system ... trigonal

=====

DFT (PBE) results for a geometry-optimized Ir12OsRu6 structure.

a = 6.559 Å, b = 6.559 Å, c = 6.559 Å
α = 90.06°, β = 90.06°, γ = 90.06°
Element x y z (fractional)
Ir (0.021, 0.938, 0.298)
Ir (0.062, 0.702, 0.979)
Ir (0.129, 0.463, 0.338)
Ir (0.298, 0.021, 0.938)
Ir (0.338, 0.129, 0.463)
Ir (0.463, 0.338, 0.129)
Ir (0.537, 0.662, 0.871)
Ir (0.662, 0.871, 0.537)
Ir (0.702, 0.979, 0.062)
Ir (0.871, 0.537, 0.662)
Ir (0.938, 0.298, 0.021)
Ir (0.979, 0.062, 0.702)
Os (0.500, 0.500, 0.500)
Ru (0.216, 0.760, 0.611)
Ru (0.240, 0.389, 0.784)
Ru (0.389, 0.784, 0.240)
Ru (0.611, 0.216, 0.760)
Ru (0.760, 0.611, 0.216)
Ru (0.784, 0.240, 0.389)

DFT total energy ... -168.8 eV/f.u.
Total magnetic moment ... 0.00 μB per formula unit
E_form ... 235 meV per atom
V ... 14.8 Å³/atom
Crystal system ... trigonal

=====

DFT (PBE) results for a geometry-optimized IrOs2Ru structure.

a = 2.724 Å, b = 2.724 Å, c = 7.696 Å
α = 90.00°, β = 90.00°, γ = 90.00°
Element x y z (fractional)
Ir (0.000, 0.000, 0.000)
Os (0.000, 0.000, 0.500)
Os (0.500, 0.500, 0.251)
Ru (0.500, 0.500, 0.747)

DFT total energy ... -40.3 eV/f.u.
Offset from the most stable computed form ... 79 meV/atom
Total magnetic moment ... 0.00 μB per formula unit
E_form ... 65 meV per atom
V ... 14.3 Å³/atom
Crystal system ... tetragonal

=====

DFT (PBE) results for a geometry-optimized Ir6OsRu5 structure.

a = 7.196 Å, b = 7.196 Å, c = 7.196 Å
α = 149.03°, β = 115.21°, γ = 73.54°
Element x y z (fractional)
Ir (0.083, 0.333, 0.750)
Ir (0.249, 0.000, 0.249)
Ir (0.416, 0.667, 0.750)
Ir (0.584, 0.333, 0.250)
Ir (0.751, 0.000, 0.751)
Ir (0.917, 0.667, 0.250)
Os (0.000, 0.500, 0.500)
Ru (0.166, 0.166, 0.000)
Ru (0.334, 0.834, 0.500)
Ru (0.500, 0.500, 0.000)
Ru (0.666, 0.166, 0.500)
Ru (0.834, 0.834, 0.000)

DFT total energy ... -110.9 eV/f.u.
Offset from the most stable computed form ... 0 meV/atom
Total magnetic moment ... 0.00 μB per formula unit
E_form ... -11 meV per atom
V ... 14.2 Å³/atom
Crystal system ... orthorhombic